Below is a relaxed structure of Tb4GaTeS2, with properties calculated at the PBE level.

Lattice parameters (Å, degrees): 4.0011 7.1685 7.2416 71.58 90.00 90.00
Fractional positions:
1 Tb 0.0000 0.7725 0.7240
2 Tb 0.0000 0.2275 0.2760
3 Tb 0.5000 0.7642 0.2533
4 Tb 0.5000 0.2358 0.7467
5 Ga 0.0000 0.5000 0.5000
6 Te 0.5000 0.5000 0.0000
7 S 0.0000 0.0000 0.0000
8 S 0.5000 0.0000 0.5000

Computed properties:
SG   P2/m (10)
Uncorrected formation energy   -141.2 kJ per mole of atoms
Spin magnetization   0.00 μB per formula unit
N(E_F)   2.98 states/eV/cell